Record 1
A plane-wave DFT calculation with PBE was carried out for a relaxed Sr2Cd2SeSOF2 crystal.

Cell lengths 9.3867, 9.3867, 9.3867 Å; angles 153.15, 153.15, 38.34 degrees
Sites, in units of the cell vectors:
Cd 0.5024 0.0023 0.5000
Cd 0.0023 0.5024 0.5000
F 0.7462 0.2462 0.5000
F 0.2462 0.7462 0.5000
O 0.5239 0.5239 0.0000
S 0.1065 0.1065 0.0000
Se 0.8937 0.8937 0.0000
Sr 0.3097 0.3097 0.0000
Sr 0.6691 0.6691 0.0000

Electronic total energy, hartree per atom: -0.164
ρ, g/cm³: 5.6
Space group: I4mm, No. 107
Volume, Å³/cell: 168.5


Record 2
A plane-wave DFT calculation with PBE was carried out for a relaxed Cd2SeO3F2 crystal.

Cell lengths 7.7439, 10.5122, 5.6841 Å; angles 90.00, 90.00, 90.00 degrees
Sites, in units of the cell vectors:
Cd 0.5941 0.5734 0.2463
Cd 0.5941 0.9266 0.2463
Cd 0.0941 0.5734 0.2537
Cd 0.0941 0.9266 0.2537
Cd 0.9059 0.0734 0.7463
Cd 0.9059 0.4266 0.7463
Cd 0.4059 0.0734 0.7537
Cd 0.4059 0.4266 0.7537
F 0.3405 0.5639 0.0524
F 0.3405 0.9361 0.0524
F 0.8405 0.5639 0.4476
F 0.8405 0.9361 0.4476
F 0.1595 0.0639 0.5524
F 0.1595 0.4361 0.5524
F 0.6595 0.0639 0.9476
F 0.6595 0.4361 0.9476
O 0.6716 0.7500 0.0554
O 0.0438 0.1243 0.0828
O 0.0438 0.3757 0.0828
O 0.5438 0.1243 0.4172
O 0.5438 0.3757 0.4172
O 0.1716 0.7500 0.4446
O 0.8284 0.2500 0.5554
O 0.4562 0.6243 0.5828
O 0.4562 0.8757 0.5828
O 0.9562 0.6243 0.9172
O 0.9562 0.8757 0.9172
O 0.3284 0.2500 0.9446
Se 0.1719 0.2500 0.1684
Se 0.6719 0.2500 0.3316
Se 0.3281 0.7500 0.6684
Se 0.8281 0.7500 0.8316

Electronic total energy, hartree per atom: -0.163
ρ, g/cm³: 5.6
Space group: Pnma, No. 62
Volume, Å³/cell: 462.7


Record 3
A plane-wave DFT calculation with PBE was carried out for a relaxed Cd3SiO2F6 crystal.

Cell lengths 6.5846, 6.5846, 4.2237 Å; angles 90.00, 90.00, 120.00 degrees
Sites, in units of the cell vectors:
Cd 0.5000 0.0000 0.0000
Cd 0.0000 0.5000 0.0000
Cd 0.5000 0.5000 0.0000
F 0.1240 0.2481 0.2753
F 0.1240 0.8760 0.2753
F 0.7519 0.8760 0.2753
F 0.2481 0.1240 0.7247
F 0.8760 0.1240 0.7247
F 0.8760 0.7519 0.7247
O 0.6667 0.3333 0.2016
O 0.3333 0.6667 0.7984
Si 0.0000 0.0000 0.5000

Electronic total energy, hartree per atom: -0.168
ρ, g/cm³: 5.4
Space group: P-3m1, No. 164
Volume, Å³/cell: 158.6


Record 4
A plane-wave DFT calculation with PBE was carried out for a relaxed Cd3PF6 crystal.

Cell lengths 4.9255, 4.9255, 6.9883 Å; angles 90.00, 90.00, 120.00 degrees
Sites, in units of the cell vectors:
Cd 0.0000 0.0000 0.5000
Cd 0.6667 0.3333 0.5000
Cd 0.3333 0.6667 0.5000
F 0.7290 0.0000 0.1348
F 0.2710 0.2710 0.1348
F 0.0000 0.7290 0.1348
F 0.2710 0.0000 0.8652
F 0.0000 0.2710 0.8652
F 0.7290 0.7290 0.8652
P 0.0000 0.0000 0.0000

Electronic total energy, hartree per atom: -0.139
ρ, g/cm³: 5.5
Space group: P-31m, No. 162
Volume, Å³/cell: 146.8


Record 5
A plane-wave DFT calculation with PBE was carried out for a relaxed CdPPbF crystal.

Cell lengths 6.6482, 6.6576, 7.8048 Å; angles 90.00, 90.00, 90.00 degrees
Sites, in units of the cell vectors:
Cd 0.2097 0.4989 0.0971
Cd 0.7903 0.9989 0.4029
Cd 0.2903 0.5011 0.5971
Cd 0.7097 0.0011 0.9029
F 0.4121 0.1603 0.0398
F 0.5879 0.6603 0.4602
F 0.0879 0.8397 0.5398
F 0.9121 0.3397 0.9602
P 0.9159 0.8341 0.1298
P 0.0841 0.3341 0.3702
P 0.5841 0.1659 0.6298
P 0.4159 0.6659 0.8702
Pb 0.7173 0.4793 0.2098
Pb 0.2827 0.9793 0.2902
Pb 0.7827 0.5207 0.7098
Pb 0.2173 0.0207 0.7902

Electronic total energy, hartree per atom: -0.139
ρ, g/cm³: 7.1
Space group: P2_12_12_1, No. 19
Volume, Å³/cell: 345.4


Record 6
A plane-wave DFT calculation with PBE was carried out for a relaxed CdPPbF crystal.

Cell lengths 8.2264, 8.2264, 5.3043 Å; angles 90.00, 90.00, 150.80 degrees
Sites, in units of the cell vectors:
Cd 0.0000 0.0000 0.0000
Cd 0.0000 0.0000 0.5000
F 0.5304 0.4696 0.2500
F 0.4696 0.5304 0.7500
P 0.8585 0.1415 0.2500
P 0.1415 0.8585 0.7500
Pb 0.6804 0.3196 0.2500
Pb 0.3196 0.6804 0.7500

Electronic total energy, hartree per atom: -0.128
ρ, g/cm³: 7.0
Space group: Cmcm, No. 63
Volume, Å³/cell: 175.1


Record 7
A plane-wave DFT calculation with PBE was carried out for a relaxed CdPPbF crystal.

Cell lengths 6.7231, 7.0653, 7.3679 Å; angles 90.00, 90.00, 90.00 degrees
Sites, in units of the cell vectors:
Cd 0.4465 0.1288 0.1344
Cd 0.5535 0.6288 0.3656
Cd 0.0535 0.8712 0.6344
Cd 0.9465 0.3712 0.8656
F 0.1486 0.5918 0.0485
F 0.8514 0.0918 0.4515
F 0.3514 0.4082 0.5485
F 0.6486 0.9082 0.9515
P 0.6668 0.4112 0.1106
P 0.3332 0.9112 0.3894
P 0.8332 0.5888 0.6106
P 0.1668 0.0888 0.8894
Pb 0.9817 0.8673 0.1469
Pb 0.0183 0.3673 0.3531
Pb 0.5183 0.1327 0.6469
Pb 0.4817 0.6327 0.8531

Electronic total energy, hartree per atom: -0.140
ρ, g/cm³: 7.0
Space group: P2_12_12_1, No. 19
Volume, Å³/cell: 350.0


Record 8
A plane-wave DFT calculation with PBE was carried out for a relaxed CdPPbF crystal.

Cell lengths 9.8337, 18.4652, 4.1033 Å; angles 90.00, 90.00, 90.00 degrees
Sites, in units of the cell vectors:
Cd 0.8662 0.0708 0.0000
Cd 0.5637 0.0993 0.0000
Cd 0.0637 0.4007 0.0000
Cd 0.3662 0.4292 0.0000
Cd 0.6338 0.5708 0.0000
Cd 0.9363 0.5993 0.0000
Cd 0.4363 0.9007 0.0000
Cd 0.1338 0.9292 0.0000
F 0.9843 0.0747 0.5000
F 0.4784 0.1443 0.5000
F 0.9784 0.3557 0.5000
F 0.4843 0.4253 0.5000
F 0.5157 0.5747 0.5000
F 0.0216 0.6443 0.5000
F 0.5216 0.8557 0.5000
F 0.0157 0.9253 0.5000
P 0.3120 0.0289 0.0000
P 0.7595 0.2004 0.0000
P 0.2595 0.2996 0.0000
P 0.8120 0.4711 0.0000
P 0.1880 0.5289 0.0000
P 0.7405 0.7004 0.0000
P 0.2405 0.7996 0.0000
P 0.6880 0.9711 0.0000
Pb 0.2322 0.1138 0.5000
Pb 0.9428 0.2192 0.5000
Pb 0.4428 0.2808 0.5000
Pb 0.7323 0.3862 0.5000
Pb 0.2677 0.6138 0.5000
Pb 0.5572 0.7192 0.5000
Pb 0.0572 0.7808 0.5000
Pb 0.7677 0.8862 0.5000

Electronic total energy, hartree per atom: -0.135
ρ, g/cm³: 6.6
Space group: Pbam, No. 55
Volume, Å³/cell: 745.1


Question: Look up the volume of the fifth one.
Answer: 345.4 Å³/cell


Question: Look up the volume of the second one.
Answer: 462.7 Å³/cell


Question: The highest ρ belongs to which entry?
Answer: number 5


Question: Look up the electronic total energy of the second one.
Answer: -0.163 hartree per atom